1.
ZnCd2Mo | PBE | relaxed

Cell: 2.834 2.834 9.103 Å, 90.00 90.00 99.04°
Fractional positions:
Cd 0.000 0.000 0.999
Cd 0.000 0.000 0.501
Mo 0.500 0.500 0.250
Zn 0.500 0.500 0.750

Properties
space-group type = Cmmm, No. 65



2.
ZnCd2Mo | PBE | relaxed

Cell: 5.152 5.152 5.152 Å, 132.86 132.86 68.88°
Fractional positions:
Cd 0.000 0.000 0.000
Cd 0.250 0.750 0.500
Mo 0.500 0.500 0.000
Zn 0.750 0.250 0.500

Properties
space-group type = I-4m2, No. 119



3.
ZnCd2Mo4 | PBE | relaxed

Cell: 4.535 4.535 7.758 Å, 73.01 73.01 90.00°
Each line ends with the local moment (μB).
Fractional positions:
Mo 0.833 0.833 0.333  1.42
Mo 0.167 0.167 0.667  1.42
Mo 0.000 0.500 0.000  -0.53
Mo 0.500 0.000 0.000  -0.53
Zn 0.000 0.000 0.000  -0.02
Cd 0.635 0.635 0.729  -0.01
Cd 0.365 0.365 0.271  -0.01

Properties
space-group type = I4/mmm, No. 139



4.
ZnCd2Mo | PBE | relaxed

Cell: 9.859 9.859 9.859 Å, 17.18 17.18 17.18°
Fractional positions:
Cd 0.000 0.000 0.000
Cd 0.500 0.500 0.500
Mo 0.250 0.250 0.250
Zn 0.750 0.750 0.750

Properties
space-group type = R-3m, No. 166



no.,total moment (μB per atom),formation energy (meV per atom)
1,0.000,305.3
2,0.000,471.9
3,0.281,1606.5
4,0.000,368.4